# Al3Cu3Ni2 SCAN PBEsol geometry
# Magnetic moment = 0.000 μB/f.u.
# Energy of formation from the pure elements = -0.45 eV/atom
# Symmetry = P-1, No. 2
# Energy relative to the lowest polymorph listed for this composition = 0.0 kJ per mole of atoms
# Density of states at the Fermi level = 5.36 states/eV per cell
data_Al3Cu3Ni2
_chemical_formula_sum 'Al6 Cu6 Ni4'
_cell_length_a 5.016
_cell_length_b 6.328
_cell_length_c 6.597
_cell_angle_alpha 79.65
_cell_angle_beta 72.15
_cell_angle_gamma 74.72
_space_group_name_H-M_alt 'P 1'
_space_group_IT_number 1
loop_
_space_group_symop_operation_xyz
'x,y,z'
loop_
_atom_site_label
_atom_site_fract_x
_atom_site_fract_y
_atom_site_fract_z
_atom_site_occupancy
Al1 0.604 0.928 0.193 1
Al2 0.892 0.792 0.553 1
Al3 0.396 0.072 0.807 1
Al4 0.154 0.666 0.953 1
Al5 0.108 0.208 0.447 1
Al6 0.846 0.334 0.047 1
Cu1 0.357 0.579 0.299 1
Cu2 0.098 0.961 0.181 1
Cu3 0.386 0.793 0.575 1
Cu4 0.614 0.207 0.425 1
Cu5 0.902 0.039 0.819 1
Cu6 0.643 0.421 0.701 1
Ni1 0.649 0.703 0.921 1
Ni2 0.854 0.563 0.307 1
Ni3 0.351 0.297 0.079 1
Ni4 0.146 0.437 0.693 1

---

# Al2CuNi SCAN PBEsol geometry
# Magnetic moment = 0.000 μB/f.u.
# Energy of formation from the pure elements = -0.57 eV/atom
# Symmetry = P4/mmm, No. 123
# Density of states at the Fermi level = 0.79 states/eV per cell
data_Al2CuNi
_chemical_formula_sum 'Al2 Cu1 Ni1'
_cell_length_a 2.896
_cell_length_b 2.896
_cell_length_c 5.830
_cell_angle_alpha 90.00
_cell_angle_beta 90.00
_cell_angle_gamma 90.00
_space_group_name_H-M_alt 'P 1'
_space_group_IT_number 1
loop_
_space_group_symop_operation_xyz
'x,y,z'
loop_
_atom_site_label
_atom_site_fract_x
_atom_site_fract_y
_atom_site_fract_z
_atom_site_occupancy
Al1 0.000 0.000 0.740 1
Al2 0.000 0.000 0.260 1
Ni1 0.500 0.500 0.500 1
Cu1 0.500 0.500 0.000 1

---

# Al3Cu3Ni SCAN PBEsol geometry
# Magnetic moment = 0.003 μB/f.u.
# Energy of formation from the pure elements = -0.37 eV/atom
# Symmetry = P6_3/m, No. 176
# Density of states at the Fermi level = 5.35 states/eV per cell
data_Al3Cu3Ni
_chemical_formula_sum 'Al6 Cu6 Ni2'
_cell_length_a 4.161
_cell_length_b 6.928
_cell_length_c 6.928
_cell_angle_alpha 120.00
_cell_angle_beta 90.00
_cell_angle_gamma 90.00
_space_group_name_H-M_alt 'P 1'
_space_group_IT_number 1
loop_
_space_group_symop_operation_xyz
'x,y,z'
loop_
_atom_site_label
_atom_site_fract_x
_atom_site_fract_y
_atom_site_fract_z
_atom_site_occupancy
Cu1 0.250 0.049 0.235 1
Cu2 0.250 0.186 0.951 1
Cu3 0.750 0.951 0.765 1
Cu4 0.750 0.235 0.186 1
Cu5 0.750 0.814 0.049 1
Cu6 0.250 0.765 0.814 1
Al1 0.250 0.633 0.091 1
Al2 0.250 0.909 0.542 1
Al3 0.750 0.367 0.909 1
Al4 0.250 0.458 0.367 1
Al5 0.750 0.091 0.458 1
Al6 0.750 0.542 0.633 1
Ni1 0.250 0.333 0.667 1
Ni2 0.750 0.667 0.333 1

---

# Al2CuNi SCAN PBEsol geometry
# Magnetic moment = 0.000 μB/f.u.
# Energy of formation from the pure elements = -0.56 eV/atom
# Symmetry = P4/mmm, No. 123
# Density of states at the Fermi level = 1.11 states/eV per cell
data_Al2CuNi
_chemical_formula_sum 'Al2 Cu1 Ni1'
_cell_length_a 2.936
_cell_length_b 4.077
_cell_length_c 4.077
_cell_angle_alpha 90.00
_cell_angle_beta 90.00
_cell_angle_gamma 90.00
_space_group_name_H-M_alt 'P 1'
_space_group_IT_number 1
loop_
_space_group_symop_operation_xyz
'x,y,z'
loop_
_atom_site_label
_atom_site_fract_x
_atom_site_fract_y
_atom_site_fract_z
_atom_site_occupancy
Al1 0.000 0.375 0.500 1
Al2 0.000 0.875 0.000 1
Ni1 0.500 0.875 0.500 1
Cu1 0.500 0.375 0.000 1

---

# AlCu3Ni2 SCAN PBEsol geometry
# Magnetic moment = 0.000 μB/f.u.
# Energy of formation from the pure elements = -0.23 eV/atom
# Symmetry = Cmmm, No. 65
# Density of states at the Fermi level = 1.86 states/eV per cell
data_AlCu3Ni2
_chemical_formula_sum 'Al1 Cu3 Ni2'
_cell_length_a 3.482
_cell_length_b 3.649
_cell_length_c 5.599
_cell_angle_alpha 70.98
_cell_angle_beta 90.00
_cell_angle_gamma 90.00
_space_group_name_H-M_alt 'P 1'
_space_group_IT_number 1
loop_
_space_group_symop_operation_xyz
'x,y,z'
loop_
_atom_site_label
_atom_site_fract_x
_atom_site_fract_y
_atom_site_fract_z
_atom_site_occupancy
Cu1 0.500 0.500 0.000 1
Cu2 0.000 0.331 0.338 1
Cu3 0.000 0.669 0.662 1
Ni1 0.500 0.166 0.669 1
Ni2 0.500 0.834 0.331 1
Al1 0.000 0.000 0.000 1

---

# AlCuNi2 SCAN PBEsol geometry
# Magnetic moment = 0.000 μB/f.u.
# Energy of formation from the pure elements = -0.39 eV/atom
# Symmetry = Cmmm, No. 65
# Density of states at the Fermi level = 1.40 states/eV per cell
data_AlCuNi2
_chemical_formula_sum 'Al1 Cu1 Ni2'
_cell_length_a 2.689
_cell_length_b 4.125
_cell_length_c 4.125
_cell_angle_alpha 101.89
_cell_angle_beta 90.00
_cell_angle_gamma 90.00
_space_group_name_H-M_alt 'P 1'
_space_group_IT_number 1
loop_
_space_group_symop_operation_xyz
'x,y,z'
loop_
_atom_site_label
_atom_site_fract_x
_atom_site_fract_y
_atom_site_fract_z
_atom_site_occupancy
Al1 0.500 0.500 0.500 1
Cu1 0.500 0.000 0.000 1
Ni1 0.000 0.500 0.000 1
Ni2 0.000 0.000 0.500 1

---

# Al2CuNi SCAN PBEsol geometry
# Magnetic moment = 0.000 μB/f.u.
# Energy of formation from the pure elements = -0.48 eV/atom
# Symmetry = Cm, No. 8
# Density of states at the Fermi level = 0.93 states/eV per cell
data_Al2CuNi
_chemical_formula_sum 'Al2 Cu1 Ni1'
_cell_length_a 2.895
_cell_length_b 4.119
_cell_length_c 4.628
_cell_angle_alpha 107.89
_cell_angle_beta 108.23
_cell_angle_gamma 90.00
_space_group_name_H-M_alt 'P 1'
_space_group_IT_number 1
loop_
_space_group_symop_operation_xyz
'x,y,z'
loop_
_atom_site_label
_atom_site_fract_x
_atom_site_fract_y
_atom_site_fract_z
_atom_site_occupancy
Ni1 0.249 0.797 0.498 1
Al1 0.757 0.295 0.515 1
Al2 0.987 0.946 0.974 1
Cu1 0.507 0.462 0.013 1

---

# AlCuNi2 SCAN PBEsol geometry
# Magnetic moment = 0.002 μB/f.u.
# Energy of formation from the pure elements = -0.18 eV/atom
# Symmetry = P-3m1, No. 164
# Density of states at the Fermi level = 2.96 states/eV per cell
data_AlCuNi2
_chemical_formula_sum 'Al1 Cu1 Ni2'
_cell_length_a 2.601
_cell_length_b 2.601
_cell_length_c 7.800
_cell_angle_alpha 90.00
_cell_angle_beta 90.00
_cell_angle_gamma 120.00
_space_group_name_H-M_alt 'P 1'
_space_group_IT_number 1
loop_
_space_group_symop_operation_xyz
'x,y,z'
loop_
_atom_site_label
_atom_site_fract_x
_atom_site_fract_y
_atom_site_fract_z
_atom_site_occupancy
Ni1 0.333 0.667 0.745 1
Ni2 0.667 0.333 0.255 1
Cu1 0.000 0.000 0.000 1
Al1 0.000 0.000 0.500 1